*a*
GePI2N: relaxed, PBE.

Lattice parameters (Å, degrees): 4.855 4.855 4.510 90.00 90.00 90.00
Fractional positions:
Ge: 0.000 0.000 0.000
P: 0.500 0.500 0.000
I: 0.000 0.500 0.500
I: 0.500 0.000 0.500
N: 0.500 0.500 0.500

Values from the calculation:
- SG: P4/mmm, No. 123



*b*
GePI2N: relaxed, PBE.

Lattice parameters (Å, degrees): 5.772 5.772 3.554 90.00 90.00 90.00
Fractional positions:
Ge: 0.000 0.000 0.000
P: 0.500 0.500 0.500
I: 0.000 0.500 0.000
I: 0.500 0.000 0.000
N: 0.000 0.000 0.500

Values from the calculation:
- SG: P4/mmm, No. 123



Most stable to least stable, the ends of the list are *b* and *a*.



*a*
GePdI2N: relaxed, PBE.

Lattice parameters (Å, degrees): 5.884 5.884 3.445 90.00 90.00 90.00
Fractional positions:
Ge: 0.000 0.000 0.000
Pd: 0.500 0.500 0.500
I: 0.000 0.500 0.000
I: 0.500 0.000 0.000
N: 0.000 0.000 0.500

Values from the calculation:
- SG: P4/mmm, No. 123



*b*
GePdI2N: relaxed, PBE.

Lattice parameters (Å, degrees): 5.758 5.758 3.771 90.00 90.00 90.00
Fractional positions:
Ge: 0.000 0.000 0.000
Pd: 0.500 0.500 0.500
I: 0.000 0.500 0.500
I: 0.500 0.000 0.500
N: 0.500 0.500 0.000

Values from the calculation:
- SG: P4/mmm, No. 123



Most stable to least stable, the ends of the list are *b* and *a*.



*a*
RbGeIN2: relaxed, PBE.

Lattice parameters (Å, degrees): 4.432 4.432 5.999 90.00 90.00 90.00
Fractional positions:
Rb: 0.000 0.000 0.000
Ge: 0.500 0.500 0.500
I: 0.500 0.500 0.000
N: 0.000 0.500 0.500
N: 0.500 0.000 0.500

Values from the calculation:
- SG: P4/mmm, No. 123



*b*
RbGeIN2: relaxed, PBE.

Lattice parameters (Å, degrees): 5.261 5.261 7.090 90.00 90.00 90.00
Fractional positions:
Rb: 0.000 0.000 0.000
Ge: 0.500 0.500 0.500
I: 0.000 0.000 0.500
N: 0.000 0.500 0.000
N: 0.500 0.000 0.000

Values from the calculation:
- SG: P4/mmm, No. 123



Most stable to least stable, the ends of the list are *a* and *b*.



*a*
ReGeI2N: relaxed, PBE.

Lattice parameters (Å, degrees): 5.931 5.931 3.508 90.00 90.00 90.00
Fractional positions:
Re: 0.000 0.000 0.000
Ge: 0.500 0.500 0.500
I: 0.000 0.500 0.500
I: 0.500 0.000 0.500
N: 0.500 0.500 0.000

Values from the calculation:
- SG: P4/mmm, No. 123



*b*
ReGeI2N: relaxed, PBE.

Lattice parameters (Å, degrees): 5.593 5.593 3.788 90.00 90.00 90.00
Fractional positions:
Re: 0.000 0.000 0.000
Ge: 0.500 0.500 0.500
I: 0.000 0.500 0.000
I: 0.500 0.000 0.000
N: 0.000 0.000 0.500

Values from the calculation:
- SG: P4/mmm, No. 123



Most stable to least stable, the ends of the list are *b* and *a*.